VASP calculation (GGA+U) on crystalline BaSrNiBiO6 at its relaxed geometry.

space group = F-43m, No. 216
E_tot = -5.580 eV per atom
total magnetization = 1.09 μB/f.u.
N(E_F) = 0.67 states/eV per atom

Unit cell a=5.8626 b=5.8626 c=5.8626 alpha=60.00 beta=60.00 gamma=60.00
Fractional positions:
Ba 0.0000 0.0000 0.0000
Sr 0.5000 0.5000 0.5000
Ni 0.7500 0.7500 0.7500
Bi 0.2500 0.2500 0.2500
O 0.5051 0.5051 0.9949
O 0.5051 0.9949 0.5051
O 0.5051 0.9949 0.9949
O 0.9949 0.5051 0.5051
O 0.9949 0.5051 0.9949
O 0.9949 0.9949 0.5051